## 1
A plane-wave DFT calculation with PBE was carried out for crystalline KYMo at its relaxed geometry.

Summary:
Total moment, Bohr magnetons per cell: 0.0

a = 9.100 Å, b = 9.100 Å, c = 9.100 Å
α = 160.18°, β = 160.18°, γ = 28.18°
Positions (direct):
K (0.000, 0.000, 0.000)
Y (0.286, 0.286, 0.000)
Mo (0.668, 0.668, 0.000)

---

## 2
A plane-wave DFT calculation with PBE was carried out for crystalline KYMo at its relaxed geometry.

Summary:
Total moment, Bohr magnetons per cell: 0.0

a = 5.557 Å, b = 5.557 Å, c = 2.800 Å
α = 90.00°, β = 90.00°, γ = 120.00°
Positions (direct):
K (0.000, 0.000, 0.000)
Y (0.333, 0.667, 0.000)
Mo (0.667, 0.333, 0.500)

---

Stability ranking, top and bottom: 1 is the most stable and 2 is the least stable.